Entry 1:
Below is a geometry-optimized MgZnCd2 structure, with properties calculated at the GGA-PBEsol level.

a = 3.1348 Å, b = 4.5166 Å, c = 5.6799 Å
α = 90.00°, β = 104.23°, γ = 90.00°
Space group P2/m (No. 10)
Inequivalent atoms, fractional coordinates:
Mg: 0.0000 0.0000 0.0000
Zn: 0.0000 0.0000 0.5000
Cd: 0.3722 0.5000 0.7382

Results
Electronic total energy ... -1.428 eV/atom
Relative energy among the computed polymorphs ... 24.8 meV/atom
D(E_F) ... 0.337 states/eV/atom



Entry 2:
Below is a geometry-optimized KBe2Pt structure, with properties calculated at the GGA-PBEsol level.

a = 2.7421 Å, b = 3.7844 Å, c = 7.2513 Å
α = 90.00°, β = 98.78°, γ = 90.00°
Space group Pm (No. 6)
Inequivalent atoms, fractional coordinates:
K: 0.0000 0.0000 0.0000
Be: 0.2678 0.0000 0.4179
Be: 0.3554 0.5000 0.6453
Pt: 0.7555 0.5000 0.3982

Results
Electronic total energy ... -3.934 eV/atom
Relative energy among the computed polymorphs ... 0.0 meV/atom
D(E_F) ... 0.375 states/eV/atom



Entry 3:
Below is a geometry-optimized Na3HfCd structure, with properties calculated at the GGA-PBEsol level.

a = 5.4295 Å, b = 5.4295 Å, c = 5.4295 Å
α = 90.00°, β = 90.00°, γ = 90.00°
Space group Pm-3m (No. 221)
Inequivalent atoms, fractional coordinates:
Na: 0.0000 0.0000 0.5000
Hf: 0.5000 0.5000 0.5000
Cd: 0.0000 0.0000 0.0000

Results
Electronic total energy ... -2.097 eV/atom
Relative energy among the computed polymorphs ... 0.0 meV/atom
D(E_F) ... 1.319 states/eV/atom



Entry 4:
Below is a geometry-optimized LiMoP2O7 structure, with properties calculated at the GGA-PBEsol level.

a = 6.6189 Å, b = 8.3672 Å, c = 4.5326 Å
α = 90.00°, β = 103.10°, γ = 90.00°
Space group C2 (No. 5)
Inequivalent atoms, fractional coordinates:
Li: 0.0000 0.0000 0.0000
Mo: 0.0000 0.3728 0.0000
P: 0.2079 0.7090 0.4118
O: 0.0000 0.7702 0.5000
O: 0.1321 0.1891 0.2862
O: 0.1775 0.5499 0.2501
O: 0.2478 0.8487 0.2116

Results
Electronic total energy ... -7.705 eV/atom
Relative energy among the computed polymorphs ... 8.9 meV/atom
E_form (uncorrected) ... -2.063 eV per atom



Entry 5:
Below is a geometry-optimized CaFeP2 structure, with properties calculated at the GGA-PBEsol level.

a = 2.9191 Å, b = 2.9191 Å, c = 6.6841 Å
α = 90.00°, β = 90.00°, γ = 90.00°
Space group P4/mmm (No. 123)
Inequivalent atoms, fractional coordinates:
Ca: 0.0000 0.0000 0.0000
Fe: 0.0000 0.0000 0.5000
P: 0.5000 0.5000 0.3104

Results
Electronic total energy ... -6.029 eV/atom
Relative energy among the computed polymorphs ... 107.1 meV/atom
D(E_F) ... 0.685 states/eV/atom



Entry 6:
Below is a geometry-optimized LaHfN2F structure, with properties calculated at the GGA-PBEsol level.

a = 4.2404 Å, b = 4.2404 Å, c = 3.9766 Å
α = 90.00°, β = 90.00°, γ = 90.00°
Space group P4/mmm (No. 123)
Inequivalent atoms, fractional coordinates:
La: 0.0000 0.0000 0.0000
Hf: 0.5000 0.5000 0.5000
N: 0.0000 0.5000 0.5000
F: 0.5000 0.5000 0.0000

Results
Electronic total energy ... -8.987 eV/atom
D(E_F) ... 0.005 states/eV/atom
E_form (uncorrected) ... -2.021 eV per atom



Entry 7:
Below is a geometry-optimized Ca2AsBr structure, with properties calculated at the GGA-PBEsol level.

a = 4.6065 Å, b = 3.8808 Å, c = 11.3133 Å
α = 90.00°, β = 90.00°, γ = 90.00°
Space group Amm2 (No. 38)
Inequivalent atoms, fractional coordinates:
Ca: 0.0000 0.0000 0.0000
Ca: 0.5000 0.0000 0.2452
As: 0.5000 0.0000 0.5107
Br: 0.0000 0.0000 0.7513

Results
Electronic total energy ... -4.156 eV/atom
D(E_F) ... 0.108 states/eV/atom
E_form (uncorrected) ... -1.346 eV per atom



Entry 8:
Below is a geometry-optimized HfHF2 structure, with properties calculated at the GGA-PBEsol level.

a = 5.2719 Å, b = 5.2719 Å, c = 5.2719 Å
α = 90.00°, β = 90.00°, γ = 90.00°
Space group Fm-3m (No. 225)
Inequivalent atoms, fractional coordinates:
Hf: 0.0000 0.0000 0.0000
H: 0.0000 0.0000 0.5000
F: 0.2500 0.2500 0.2500

Results
Electronic total energy ... -6.113 eV/atom
Relative energy among the computed polymorphs ... 239.3 meV/atom
D(E_F) ... 0.378 states/eV/atom



Entry 9:
Below is a geometry-optimized CaZrBe2 structure, with properties calculated at the GGA-PBEsol level.

a = 3.3047 Å, b = 3.3047 Å, c = 6.5563 Å
α = 90.00°, β = 90.00°, γ = 90.00°
Space group P4/mmm (No. 123)
Inequivalent atoms, fractional coordinates:
Ca: 0.0000 0.0000 0.0000
Zr: 0.0000 0.0000 0.5000
Be: 0.5000 0.5000 0.3048

Results
Electronic total energy ... -4.651 eV/atom
Relative energy among the computed polymorphs ... 0.0 meV/atom
D(E_F) ... 0.422 states/eV/atom



Entry 10:
Below is a geometry-optimized RbTaCr3 structure, with properties calculated at the GGA-PBEsol level.

a = 4.3496 Å, b = 4.3496 Å, c = 4.3496 Å
α = 90.00°, β = 90.00°, γ = 90.00°
Space group Pm-3m (No. 221)
Inequivalent atoms, fractional coordinates:
Rb: 0.0000 0.0000 0.0000
Ta: 0.5000 0.5000 0.5000
Cr: 0.0000 0.0000 0.5000

Results
Electronic total energy ... -5.962 eV/atom
Relative energy among the computed polymorphs ... 1150.3 meV/atom
D(E_F) ... 1.358 states/eV/atom



Entry 11:
Below is a geometry-optimized MgRe2Mo structure, with properties calculated at the GGA-PBEsol level.

a = 3.0786 Å, b = 4.4047 Å, c = 9.0638 Å
α = 90.00°, β = 90.00°, γ = 90.00°
Space group Cmmm (No. 65)
Inequivalent atoms, fractional coordinates:
Mg: 0.0000 0.0000 0.0000
Re: 0.0000 0.5000 0.2594
Mo: 0.0000 0.0000 0.5000

Results
Electronic total energy ... -9.845 eV/atom
D(E_F) ... 0.549 states/eV/atom



Entry 12:
Below is a geometry-optimized KFeSi2 structure, with properties calculated at the GGA-PBEsol level.

a = 2.7379 Å, b = 3.6854 Å, c = 7.3974 Å
α = 90.00°, β = 90.10°, γ = 90.00°
Space group Pm (No. 6)
Inequivalent atoms, fractional coordinates:
K: 0.0000 0.0000 0.0000
Fe: 0.0044 0.5000 0.5820
Si: 0.5032 0.5000 0.3303
Si: 0.5045 0.0000 0.5840

Results
Electronic total energy ... -5.336 eV/atom
Relative energy among the computed polymorphs ... 46.0 meV/atom
D(E_F) ... 0.768 states/eV/atom
E_form (uncorrected) ... 0.062 eV per atom